(1)
A plane-wave DFT calculation with GGA-PBE was carried out for an optimized crystal structure of NaCaW2.

POSCAR file:
```
NaCaW2
1.0
-4.1818 4.1818 2.4944
4.1818 -4.1818 2.4944
4.1818 4.1818 -2.4944
Na Ca W
2 2 4
Direct
0.0000 0.0000 0.0000
0.7500 0.2500 0.5000
0.2500 0.7500 0.5000
0.5000 0.5000 0.0000
0.0917 0.6250 0.9667
0.3750 0.3417 0.4667
0.6583 0.1250 0.0333
0.8750 0.9083 0.5333
```

## Properties
Space-group type: I-42d, No. 122
Total magnetic moment: 0.0 μB per cell
E_form: 1.791 eV per atom

***

(2)
A plane-wave DFT calculation with GGA-PBE was carried out for an optimized crystal structure of CdSbBr2.

POSCAR file:
```
CdSbBr2
1.0
6.0544 0.0000 0.0000
0.0000 4.0282 0.0000
-2.9985 0.0000 7.1273
Cd Sb Br
1 1 2
Direct
0.0000 0.0000 0.0000
0.5000 0.0000 0.0000
0.3582 0.5000 0.7158
0.6418 0.5000 0.2842
```

## Properties
Space-group type: P2/m, No. 10
E_form (uncorrected): -284 meV/atom
Total magnetic moment: 0.0 μB per cell

***

(3)
A plane-wave DFT calculation with GGA-PBE was carried out for an optimized crystal structure of Tb4Sb2Pd.

POSCAR file:
```
Tb4Sb2Pd
1.0
7.7848 -2.1437 0.0000
7.7848 2.1437 0.0000
-3.3017 0.0000 6.5372
Tb Sb Pd
4 2 1
Direct
0.1152 0.1152 0.4349
0.3820 0.3820 0.0230
0.6180 0.6180 0.9770
0.8848 0.8848 0.5651
0.2641 0.2641 0.2652
0.7359 0.7359 0.7348
0.0000 0.0000 0.0000
```

## Properties
Space-group type: C2/m, No. 12
E_form (uncorrected): -714 meV/atom
Total magnetic moment: 0.0 μB per cell